# 1
DFT (GGA-PBE) results for TlSeN3 after structural relaxation.

Unit cell a=3.9078 b=3.9078 c=3.9078 alpha=90.00 beta=90.00 gamma=90.00
With the nearest neighbours (Å) after each atom.
Space group Pm-3m (No. 221)
Unique sites:
Tl 0.0000 0.0000 0.0000 (multiplicity 1)  12 N 2.76
Se 0.5000 0.5000 0.5000 (multiplicity 1)  6 N 1.95
N 0.0000 0.5000 0.5000 (multiplicity 3)  2 Se 1.95

Summary:
Total DFT energy (no corrections): -4.291 eV per atom
E_form (uncorrected): 1874.7 meV per atom

***

# 2
DFT (GGA-PBE) results for Mg2Cd8In after structural relaxation.

Unit cell a=7.7002 b=13.7704 c=5.8639 alpha=90.00 beta=120.98 gamma=90.00
With the nearest neighbours (Å) after each atom.
Space group C2/m (No. 12)
Unique sites:
Mg 0.0000 0.1926 0.0000 (multiplicity 4)  8 Cd 2.99-3.18
Cd 0.0000 0.2824 0.5000 (multiplicity 4)  1 In 3.00, 4 Cd 3.02-3.25, 2 Mg 3.18
Cd 0.0572 0.0000 0.2749 (multiplicity 4)  6 Cd 2.87-3.18, 1 In 2.96, 2 Mg 3.02
Cd 0.2134 0.3827 0.2032 (multiplicity 8)  5 Cd 2.90-3.23, 2 Mg 2.99-3.17
In 0.0000 0.5000 0.5000 (multiplicity 2)  4 Cd 2.96-3.00

Summary:
Total DFT energy (no corrections): -1.172 eV per atom
Distance to the lowest polymorph of the same formula: 30 meV per atom
ΔH_f (0 K): 0.033 eV/atom

***

# 3
DFT (GGA-PBE) results for AcTb2Sm6Ho3 after structural relaxation.

Unit cell a=6.2744 b=10.8665 c=11.9988 alpha=90.00 beta=100.05 gamma=90.00
With the nearest neighbours (Å) after each atom.
Space group C2/m (No. 12)
Unique sites:
Ac 0.0000 0.0000 0.0000 (multiplicity 2)  6 Tb 3.62, 6 Sm 3.68
Tb 0.0000 0.3334 0.0000 (multiplicity 4)  3 Tb 3.62, 3 Ac 3.62, 6 Sm 3.66-3.67
Sm 0.2468 0.3318 0.7449 (multiplicity 8)  3 Ho 3.56-3.58, 6 Sm 3.61-3.65, 2 Tb 3.66, 1 Ac 3.68
Sm 0.2490 0.5000 0.2555 (multiplicity 4)  3 Ho 3.56-3.57, 6 Sm 3.61-3.65, 2 Tb 3.67, 1 Ac 3.68
Ho 0.0000 0.1672 0.5000 (multiplicity 4)  6 Sm 3.56-3.58, 6 Ho 3.62-3.63
Ho 0.0000 0.5000 0.5000 (multiplicity 2)  6 Sm 3.56-3.58, 6 Ho 3.62-3.63

Summary:
Total DFT energy (no corrections): -4.589 eV per atom
ΔH_f (0 K): 0.029 eV/atom

***

# 4
DFT (GGA-PBE) results for Pr4Ga2N after structural relaxation.

Unit cell a=12.6904 b=3.8225 c=8.8664 alpha=90.00 beta=124.20 gamma=90.00
With the nearest neighbours (Å) after each atom.
Space group C2/m (No. 12)
Unique sites:
Pr 0.0840 0.0000 0.3351 (multiplicity 4)  1 N 2.53
Pr 0.1539 0.5000 0.0651 (multiplicity 4)  2 N 2.56
Ga 0.1175 0.5000 0.6594 (multiplicity 4)  1 Ga 2.72
N 0.0000 0.0000 0.0000 (multiplicity 2)  6 Pr 2.53-2.56

Summary:
Total DFT energy (no corrections): -5.479 eV per atom
Distance to the lowest polymorph of the same formula: 0 meV per atom
E_form (uncorrected): -693.6 meV per atom

***

# 5
DFT (GGA-PBE) results for CsCdHg11 after structural relaxation.

Unit cell a=6.3377 b=15.6458 c=8.5199 alpha=90.00 beta=110.43 gamma=90.00
With the nearest neighbours (Å) after each atom.
Space group C2/m (No. 12)
Unique sites:
Cs 0.0000 0.0000 0.0000 (multiplicity 2)  18 Hg 3.99-4.26, 2 Cd 4.33
Cd 0.0000 0.5000 0.5000 (multiplicity 2)  10 Hg 3.17-3.39
Hg 0.0000 0.0000 0.5000 (multiplicity 2)  2 Cd 3.17, 8 Hg 3.27-3.39
Hg 0.1048 0.3911 0.2206 (multiplicity 8)  1 Cd 3.18, 8 Hg 3.23-3.53
Hg 0.1833 0.1776 0.3584 (multiplicity 8)  7 Hg 3.20-3.53, 1 Cd 3.39
Hg 0.2500 0.2500 0.0000 (multiplicity 4)  10 Hg 3.17-3.51

Summary:
Total DFT energy (no corrections): -0.479 eV per atom
ΔH_f (0 K): -0.087 eV/atom

***

# 6
DFT (GGA-PBE) results for MgZnAs2 after structural relaxation.

Unit cell a=3.1283 b=3.1283 c=7.6658 alpha=90.00 beta=90.00 gamma=90.00
With the nearest neighbours (Å) after each atom.
Space group P4/mmm (No. 123)
Unique sites:
Mg 0.0000 0.0000 0.0000 (multiplicity 1)  8 As 2.93, 4 Mg 3.13
Zn 0.0000 0.0000 0.5000 (multiplicity 1)  8 As 2.92, 4 Zn 3.13
As 0.5000 0.5000 0.2512 (multiplicity 2)  4 Zn 2.92, 4 Mg 2.93, 4 As 3.13

Summary:
Total DFT energy (no corrections): -3.016 eV per atom
Distance to the lowest polymorph of the same formula: 126 meV per atom
ΔH_f (0 K): 0.026 eV/atom